Record 1
The following is a PBE calculation of LiCaAl2 after structural relaxation, from Alexandria via LeMat-Bulk.

Geometry as POSCAR:
```
LiCaAl2
1.0
-2.664 -4.077 2.574
5.405 0.291 1.023
-0.568 1.919 2.450
Al Ca Li
2 1 1
Cartesian
0.000 0.000 0.000 Al
1.371 -1.893 1.799 Al
-1.616 -1.079 2.512 Ca
2.419 1.105 1.737 Li
```

Energy above the most stable polymorph in this dataset in meV/atom: 126
Formation energy from the elements in eV per atom: -0.034
Space group: No. 65
Crystal system: orthorhombic



Record 2
The following is a PBE calculation of CuAs2Br after structural relaxation, from Alexandria via LeMat-Bulk.

Geometry as POSCAR:
```
CuAs2Br
1.0
-0.504 -3.734 -1.703
3.563 -0.903 0.926
-1.069 -2.272 5.296
As Br Cu
2 1 1
Cartesian
2.531 -2.926 5.667 As
1.210 -1.836 3.666 As
0.372 -2.661 0.704 Br
1.619 -4.248 3.815 Cu
```

Formation energy without anion corrections in eV/f.u.: 0.2
Energy above the most stable polymorph in this dataset in meV/atom: 86
Space group: No. 10
Crystal system: monoclinic